1.
Below is a relaxed structure of Ni12Ge3Mo, with properties calculated at the PBE level.

```
Ni12Ge3Mo
1.0
3.593 0.000 0.000
0.000 3.593 0.000
0.000 0.000 14.369
Ni Ge Mo
12 3 1
Cartesian
1.796 1.796 0.000
1.796 1.796 3.598
1.796 1.796 7.185
1.796 1.796 10.771
1.796 0.000 1.805
1.796 0.000 5.399
1.796 0.000 8.970
1.796 0.000 12.564
0.000 1.796 1.805
0.000 1.796 5.399
0.000 1.796 8.970
0.000 1.796 12.564
0.000 0.000 3.672
0.000 0.000 7.185
0.000 0.000 10.698
0.000 0.000 0.000
```

Output
**Energy of formation**: -0.21 eV/atom

2.
Below is a relaxed structure of Ni2GeMo2, with properties calculated at the PBE level.

```
Ni2GeMo2
1.0
-1.640 4.907 2.950
-5.724 -1.353 -0.933
-0.065 -2.034 3.347
Ni Mo Ge
4 4 2
Cartesian
-5.526 0.609 0.263
-5.067 3.365 1.947
-1.838 2.945 1.754
-2.298 0.189 0.070
-4.055 -1.133 1.525
-5.933 1.070 2.827
-3.374 2.653 3.839
-1.496 0.450 2.537
0.000 0.000 0.000
-3.682 1.777 1.008
```

Output
**Energy of formation**: 0.09 eV/atom

3.
Below is a relaxed structure of Ni2GeMo, with properties calculated at the PBE level.

```
Ni2GeMo
1.0
-2.132 2.269 1.840
1.782 -0.794 3.045
5.363 7.199 0.887
Ni Mo Ge
4 2 2
Cartesian
0.251 3.097 1.735
2.168 1.609 2.372
3.908 5.945 2.526
3.699 6.698 4.910
0.000 0.000 0.000
1.528 5.103 2.585
-0.175 0.738 2.442
3.485 3.571 3.187
```

Output
**Energy of formation**: 0.28 eV/atom

4.
Below is a relaxed structure of NiGeMo, with properties calculated at the PBE level.

```
NiGeMo
1.0
2.523 0.272 -4.102
-2.857 -3.848 0.549
-5.913 3.908 -3.377
Ni Ge Mo
4 4 4
Cartesian
-2.080 -3.252 -0.122
-2.542 1.379 -3.079
-2.697 -0.275 -4.722
-1.321 1.547 -5.023
-7.045 -0.945 -1.979
-4.392 -2.698 -0.463
-0.806 -3.082 -2.156
-0.644 -1.347 -0.432
-4.086 2.029 -5.249
-5.038 0.229 -3.348
-2.895 -1.187 -2.124
-0.441 -0.380 -3.167
```

Output
**Energy of formation**: -0.03 eV/atom